1.
{
  "formula": "TcSbSe",
  "functional": "GGA-PBE",
  "state": "optimized geometry",
  "e_above_lowest_polymorph_ev_per_atom": 0.541,
  "magmom_total_mub_per_fu": 0.369,
  "space_group": "Fmm2 (42)",
  "dos_at_fermi_per_ev_cell": 3.17,
  "raw_formation_energy_ev_per_atom": 0.308,
  "lattice": [[8.508, 0.010, -0.006], [7.594, 3.058, -0.026], [0.914, -1.471, 2.670]],
  "species": ["Se", "Tc", "Sb"],
  "fractional_positions": [[0.707, 0.707, 0.293], [0.323, 0.323, 0.677], [0.969, 0.969, 0.031]]
}

2.
{
  "formula": "Dy8TlZn2",
  "functional": "GGA-PBE",
  "state": "optimized geometry",
  "magmom_total_mub_per_fu": 0.000,
  "space_group": "C2/m (12)",
  "dos_at_fermi_per_ev_cell": 9.22,
  "delta_e_f_ev_per_atom": -0.181,
  "lattice": [[5.178, 0.000, 0.000], [0.000, 8.300, -0.195], [-2.589, -3.733, 7.144]],
  "species": ["Zn", "Zn", "Dy", "Dy", "Dy", "Dy", "Dy", "Dy", "Dy", "Dy", "Tl"],
  "fractional_positions": [[0.219, 0.617, 0.439], [0.781, 0.383, 0.561], [0.397, 0.536, 0.793], [0.149, 0.209, 0.299], [0.851, 0.791, 0.701], [0.934, 0.277, 0.867], [0.603, 0.464, 0.207], [0.066, 0.723, 0.133], [0.315, 0.036, 0.629], [0.685, 0.964, 0.371], [0.500, 0.000, 0.000]]
}

Quick rundown of DFT total energy, same order as above: -5.683 -3.974 eV per atom